1.
CrMo2W: relaxed, PBE-GGA.

Geometry as CIF:
```
data_CrMo2W
_space_group_name_H-M_alt 'P 1'
_space_group_IT_number 1
_cell_length_a 2.7085
_cell_length_b 2.7085
_cell_length_c 8.6769
_cell_angle_alpha 90.00
_cell_angle_beta 90.00
_cell_angle_gamma 109.59
loop_
_space_group_symop_operation_xyz
'x,y,z'
loop_
_atom_site_label
_atom_site_type_symbol
_atom_site_fract_x
_atom_site_fract_y
_atom_site_fract_z
W1 W 0.5000 0.5000 0.2500
Cr1 Cr 0.5000 0.5000 0.7500
Mo1 Mo 0.0000 0.0000 0.5125
Mo2 Mo 0.0000 0.0000 0.9875
```

2.
CrMoW2: relaxed, PBE-GGA.

Geometry as CIF:
```
data_CrMoW2
_space_group_name_H-M_alt 'P 1'
_space_group_IT_number 1
_cell_length_a 3.1235
_cell_length_b 4.3875
_cell_length_c 4.3875
_cell_angle_alpha 90.00
_cell_angle_beta 90.00
_cell_angle_gamma 90.00
loop_
_space_group_symop_operation_xyz
'x,y,z'
loop_
_atom_site_label
_atom_site_type_symbol
_atom_site_fract_x
_atom_site_fract_y
_atom_site_fract_z
W1 W 0.0000 0.0000 0.0000
Cr1 Cr 0.5000 0.5000 0.0000
W2 W 0.0000 0.5000 0.5000
Mo1 Mo 0.5000 0.0000 0.5000
```

no.,final energy (eV/atom),distance to the lowest polymorph of the same formula (meV per atom),ΔH_f (0 K) (eV/atom)
1,-11.010,10.4,0.05
2,-11.547,12.2,0.04